VASP calculation (GGA-PBE) on an optimized crystal structure of SiTcP2.

It has space group R-3m (No. 166, hexagonal axes), with a = 3.1066 Å, b = 3.1066 Å, c = 20.2555 Å, α = 90.00°, β = 90.00° and γ = 120.00°. The distinct sites, in fractional coordinates, are Si at (0.0000, 0.0000, 0.0000), Tc at (0.0000, 0.0000, 0.5000) and P at (0.0000, 0.0000, 0.2513).

The calculation puts the formation energy without anion corrections at -0.015 eV/atom. The density of states at the Fermi level is 0.62 states/eV per atom.